Density functional theory data (GGA-PBE) for a relaxed Zr3Ga2Co crystal.

Cell lengths 4.1113, 9.8358, 10.9945 Å; angles 90.00, 90.00, 90.00 degrees
Fractional coordinates of all 24 atoms:
Zr 0.2500 0.4181 0.3536
Zr 0.7500 0.8550 0.4535
Zr 0.2500 0.3550 0.0465
Zr 0.7500 0.6450 0.9535
Zr 0.2500 0.1450 0.5465
Zr 0.7500 0.1890 0.2747
Zr 0.7500 0.3110 0.7747
Zr 0.7500 0.9181 0.1464
Zr 0.2500 0.8110 0.7253
Zr 0.2500 0.0819 0.8536
Zr 0.2500 0.6890 0.2253
Zr 0.7500 0.5819 0.6464
Ga 0.7500 0.0143 0.6761
Ga 0.7500 0.4857 0.1761
Ga 0.2500 0.9857 0.3239
Ga 0.2500 0.6629 0.4918
Ga 0.7500 0.3371 0.5082
Ga 0.2500 0.5143 0.8239
Ga 0.7500 0.1629 0.0082
Ga 0.2500 0.8371 0.9918
Co 0.7500 0.6040 0.3769
Co 0.2500 0.3960 0.6231
Co 0.7500 0.8960 0.8769
Co 0.2500 0.1040 0.1231

Computed properties:
V: 444.59 Å³ per cell
Symmetry: Pnma
Formation enthalpy at 0 K: -279 kJ/mol of formula units
N(E_F): 21.6 states/eV per cell


Density functional theory data (GGA-PBE) for a relaxed Cr2SiW crystal.

Cell lengths 4.1822, 4.1822, 4.1822 Å; angles 60.00, 60.00, 60.00 degrees
Last column: magnetic moment on the atom in μB.
Fractional coordinates of all 4 atoms:
Cr 0.0000 0.0000 0.0000  -0.21
Cr 0.2500 0.2500 0.2500  0.71
Si 0.5000 0.5000 0.5000  -0.01
W 0.7500 0.7500 0.7500  0.14

Computed properties:
V: 51.72 Å³ per cell
Symmetry: F-43m
Formation energy from raw total energies: 0.032 eV per atom
N(E_F): 3.2 states/eV per cell


Density functional theory data (GGA-PBE) for a relaxed MgIrRh2 crystal.

Cell lengths 2.7792, 3.8820, 5.4816 Å; angles 90.00, 90.00, 90.00 degrees
Fractional coordinates of all 4 atoms:
Rh 0.5000 0.5000 0.2598
Rh 0.0000 0.0000 0.9973
Ir 0.0000 0.0000 0.4870
Mg 0.5000 0.5000 0.7559

Computed properties:
V: 59.14 Å³ per cell
Symmetry: Pmm2
Formation enthalpy at 0 K: -55 kJ/mol of formula units
N(E_F): 3.4 states/eV per cell


Density functional theory data (GGA-PBE) for a relaxed ZrV2In2 crystal.

Cell lengths 3.7871, 3.7871, 7.2701 Å; angles 74.90, 74.90, 90.00 degrees
Fractional coordinates of all 5 atoms:
In 0.3966 0.3966 0.2069
In 0.6034 0.6034 0.7931
V 0.7500 0.2500 0.5000
V 0.2500 0.7500 0.5000
Zr 0.0000 0.0000 0.0000

Computed properties:
V: 96.94 Å³ per cell
Symmetry: I4/mmm
Polymorph energy (0 for the lowest one): 0.06 eV/f.u.
Formation enthalpy at 0 K: 88 kJ/mol of formula units
N(E_F): 3.3 states/eV per cell


Density functional theory data (GGA-PBE) for a relaxed RbTlGe2F6 crystal.

Cell lengths 7.8150, 7.8150, 7.6589 Å; angles 90.91, 90.91, 108.04 degrees
Fractional coordinates of all 20 atoms:
F 0.9666 0.4717 0.2039
F 0.2095 0.0314 0.9138
F 0.7905 0.9686 0.0862
F 0.0314 0.2095 0.4138
F 0.7386 0.4425 0.5879
F 0.4425 0.7386 0.0879
F 0.5575 0.2614 0.9121
F 0.2614 0.5575 0.4121
F 0.0334 0.5283 0.7961
F 0.4717 0.9666 0.7039
F 0.9686 0.7905 0.5862
F 0.5283 0.0334 0.2961
Tl 0.3816 0.6184 0.7500
Tl 0.6184 0.3816 0.2500
Rb 0.8644 0.1356 0.7500
Rb 0.1356 0.8644 0.2500
Ge 0.1538 0.3721 0.2484
Ge 0.3721 0.1538 0.7484
Ge 0.6279 0.8462 0.2516
Ge 0.8462 0.6279 0.7516

Computed properties:
V: 444.61 Å³ per cell
Symmetry: C2/c
Formation energy from raw total energies: -2.245 eV per atom
N(E_F): 0.0 states/eV per cell


Density functional theory data (GGA-PBE) for a relaxed Te2PtIN crystal.

Cell lengths 5.8194, 5.8194, 3.6933 Å; angles 90.00, 90.00, 90.00 degrees
Fractional coordinates of all 5 atoms:
N 0.0000 0.0000 0.5000
I 0.5000 0.5000 0.5000
Te 0.5000 0.0000 0.0000
Te 0.0000 0.5000 0.0000
Pt 0.0000 0.0000 0.0000

Computed properties:
V: 125.07 Å³ per cell
Symmetry: P4/mmm
Polymorph energy (0 for the lowest one): 0.00 eV/f.u.
Formation energy from raw total energies: 0.537 eV per atom
N(E_F): 2.5 states/eV per cell